## HfFe2Bi (GGA-PBE)

Data for a geometry-optimized HfFe2Bi structure.

Cell and atoms, written as extended XYZ:
```
8
Lattice="4.1373 0.0000 0.0000 0.0000 4.1373 0.0000 2.0686 2.0686 9.3516" Properties=species:S:1:pos:R:3 pbc="T T T"
Hf 2.0686 2.0686 0.0000
Hf 2.0686 4.1373 4.6758
Bi 0.0000 0.0000 0.0000
Bi 4.1373 2.0686 4.6758
Fe 2.8454 1.0343 2.3379
Fe 1.2919 3.1030 2.3379
Fe 3.1030 3.3605 7.0137
Fe 5.1716 4.9140 7.0137
```

Calculated values
Calculated volume in Å³/cell: 160.1
Formation energy in kcal/mol of atoms: 13.397
Magnetization in μB per atom: 1.12
Electronic total energy in eV per atom: -7.11